VASP calculation (PBE-GGA) on Er3Np3ScS8 after structural relaxation.

Summary:
Crystal system: monoclinic
N(E_F): 34.9 states/eV/f.u.
V: 656 Å³/cell
ΔE_f (raw): -1.72 eV per atom

a b c (Å): 13.398 7.734 7.742
angles (deg): 90.00 125.14 90.00
Space group C2/m (No. 12)
Asymmetric unit:
Er  0.000  0.000  0.000 (multiplicity 2)
Er  0.250  0.250  0.500 (multiplicity 4)
Np  0.000  0.500  0.500 (multiplicity 2)
Np  0.250  0.250  0.000 (multiplicity 4)
Sc  0.000  0.500  0.000 (multiplicity 2)
S  0.002  0.255  0.244 (multiplicity 8)
S  0.244  0.500  0.246 (multiplicity 4)
S  0.248  0.000  0.251 (multiplicity 4)